(1)
VASP calculation (PBE) on HoPaGa2O8 after structural relaxation.

Cell lengths 7.009, 7.009, 6.725 Å; angles 90.00, 90.00, 90.00 degrees
Space group I-4m2 (No. 119)
Symmetry-distinct sites (fractional):
Ho  0.000  0.000  0.000 x2
Pa  0.000  0.500  0.250 x2
Ga  0.000  0.000  0.500 x2
Ga  0.000  0.500  0.750 x2
O  0.000  0.192  0.311 x8
O  0.000  0.316  0.946 x8

Calculated values
Density of states at the Fermi level   0.9744 states/eV per atom
Spin magnetization   1.59 μB per formula unit
E_form (uncorrected)   -28.44 eV per formula unit


(2)
VASP calculation (PBE) on HoGaPbO4 after structural relaxation.

Cell lengths 5.894, 5.829, 6.984 Å; angles 90.00, 102.52, 90.00 degrees
Space group P2_1/m (No. 11)
Symmetry-distinct sites (fractional):
Ho  0.186  0.250  0.067 x2
Ga  0.291  0.750  0.841 x2
Pb  0.290  0.250  0.612 x2
O  0.073  0.511  0.821 x4
O  0.493  0.750  0.086 x2
O  0.500  0.250  0.321 x2

Calculated values
Density of states at the Fermi level   0.0000 states/eV per atom
Spin magnetization   0.00 μB per formula unit
E_form (uncorrected)   -14.99 eV per formula unit


(3)
VASP calculation (PBE) on HoPuGaO6 after structural relaxation.

Cell lengths 5.2972, 5.2972, 9.8600 Å; angles 90.00, 90.00, 120.00 degrees
Space group P-31c (No. 163)
Symmetry-distinct sites (fractional):
Ho  0.0000  0.0000  0.0000 x2
Pu  0.3333  0.6667  0.2500 x2
Ga  0.3333  0.6667  0.7500 x2
O  0.0077  0.3539  0.6370 x12

Calculated values
Density of states at the Fermi level   0.7817 states/eV per atom
Spin magnetization   2.00 μB per formula unit
E_form (uncorrected)   -23.10 eV per formula unit


(4)
VASP calculation (PBE) on Rb4Ho3GaO8 after structural relaxation.

Cell lengths 6.8307, 6.8307, 19.5692 Å; angles 90.00, 90.00, 120.00 degrees
Space group R-3m (No. 166, hexagonal axes)
Symmetry-distinct sites (fractional):
Rb  0.0000  0.0000  0.0000 x3
Rb  0.0000  0.5000  0.0000 x9
Ho  0.0000  0.5000  0.5000 x9
Ga  0.0000  0.0000  0.5000 x3
O  0.0000  0.0000  0.2249 x6
O  0.0162  0.5081  0.2240 x18

Calculated values
Density of states at the Fermi level   0.0000 states/eV per atom
Spin magnetization   0.00 μB per formula unit
E_form (uncorrected)   -37.84 eV per formula unit


(5)
VASP calculation (PBE) on Sr3HoGa2O8 after structural relaxation.

Cell lengths 5.9015, 5.9015, 7.2663 Å; angles 90.00, 90.00, 120.00 degrees
Space group P-3m1 (No. 164)
Symmetry-distinct sites (fractional):
Sr  0.0000  0.0000  0.0000 x1
Sr  0.3333  0.6667  0.6382 x2
Ho  0.0000  0.0000  0.5000 x1
Ga  0.3333  0.6667  0.2009 x2
O  0.1697  0.3394  0.3135 x6
O  0.3333  0.6667  0.9538 x2

Calculated values
Density of states at the Fermi level   0.9081 states/eV per atom
Spin magnetization   1.07 μB per formula unit
E_form (uncorrected)   -34.10 eV per formula unit


(6)
VASP calculation (PBE) on SrHoGaO4 after structural relaxation.

Cell lengths 5.706, 5.798, 6.853 Å; angles 90.00, 108.30, 90.00 degrees
Space group P2_1/m (No. 11)
Symmetry-distinct sites (fractional):
Sr  0.219  0.250  0.438 x2
Ho  0.310  0.250  0.964 x2
Ga  0.234  0.750  0.175 x2
O  0.013  0.750  0.914 x2
O  0.029  0.750  0.336 x2
O  0.472  0.514  0.212 x4

Calculated values
Density of states at the Fermi level   0.0000 states/eV per atom
Spin magnetization   0.00 μB per formula unit
E_form (uncorrected)   -18.89 eV per formula unit


(7)
VASP calculation (PBE) on HoGa2TeO8 after structural relaxation.

Cell lengths 6.748, 6.748, 6.561 Å; angles 90.00, 90.00, 90.00 degrees
Space group I-4m2 (No. 119)
Symmetry-distinct sites (fractional):
Ho  0.000  0.000  0.000 x2
Ga  0.000  0.000  0.500 x2
Ga  0.000  0.500  0.750 x2
Te  0.000  0.500  0.250 x2
O  0.000  0.200  0.305 x8
O  0.000  0.326  0.965 x8

Calculated values
Density of states at the Fermi level   0.7272 states/eV per atom
Spin magnetization   1.09 μB per formula unit
E_form (uncorrected)   -18.57 eV per formula unit


(8)
VASP calculation (PBE) on Ho4TlGaO after structural relaxation.

Cell lengths 6.445, 16.119, 6.459 Å; angles 90.00, 90.00, 90.00 degrees
Space group Cmcm (No. 63)
Symmetry-distinct sites (fractional):
Ho  0.000  0.067  0.250 x4
Ho  0.000  0.417  0.250 x4
Ho  0.250  0.250  0.000 x8
Tl  0.000  0.392  0.750 x4
Ga  0.000  0.117  0.750 x4
O  0.000  0.263  0.250 x4

Calculated values
Density of states at the Fermi level   0.2690 states/eV per atom
Spin magnetization   0.00 μB per formula unit
E_form (uncorrected)   -7.74 eV per formula unit


Number 1: calculated total energy -0.27020 Ha/atom. Number 2: calculated total energy -0.24223 Ha/atom. Number 3: calculated total energy -0.30536 Ha/atom. Number 4: calculated total energy -0.22539 Ha/atom. Number 5: calculated total energy -0.23478 Ha/atom. Number 6: calculated total energy -0.25207 Ha/atom. Number 7: calculated total energy -0.22052 Ha/atom. Number 8: calculated total energy -0.19112 Ha/atom.